(1)
First-principles (PBE) data for crystalline La2SbP3Pt4 at its relaxed geometry, as listed in Alexandria via LeMat-Bulk.

Lattice parameters (Å, degrees): 4.4072 4.4072 10.0631 90.00 90.00 90.00
With the nearest neighbours (Å) after each atom.
Element x y z (fractional)
La  0.5000  0.0000  0.2375  8 Pt 3.25-3.35, 7 P 3.32-3.63, 2 Sb 3.44
La  0.0000  0.5000  0.7625  8 Pt 3.25-3.35, 7 P 3.32-3.63, 2 Sb 3.44
Pt  0.0000  0.5000  0.3583  3 P 2.36-2.62, 2 Sb 2.62
Pt  0.5000  0.0000  0.6417  3 P 2.36-2.62, 2 Sb 2.62
Pt  0.0000  0.0000  0.0000  4 P 2.53
Pt  0.5000  0.5000  0.0000  4 P 2.53
P  0.5000  0.0000  0.8763  5 Pt 2.36-2.53
P  0.0000  0.0000  0.5000  4 Pt 2.62
P  0.0000  0.5000  0.1237  5 Pt 2.36-2.53
Sb  0.5000  0.5000  0.5000  4 Pt 2.62

Computed properties:
SG = No. 115
Energy relative to the elements, uncorrected = -0.93 eV per atom

=====

(2)
First-principles (PBE) data for crystalline La2ScP3Pt12 at its relaxed geometry, as listed in Alexandria via LeMat-Bulk.

Lattice parameters (Å, degrees): 7.7577 7.7577 7.7577 64.38 64.38 64.38
With the nearest neighbours (Å) after each atom.
Element x y z (fractional)
Pt  0.6593  0.0998  0.6593  2 P 2.31
Pt  0.9002  0.3407  0.3407  2 P 2.31
Pt  0.6152  0.1318  0.1318  1 P 2.32, 1 Sc 2.57
Pt  0.8682  0.8682  0.3848  1 P 2.32, 1 Sc 2.57
Pt  0.1318  0.6152  0.1318  1 P 2.32, 1 Sc 2.57
Pt  0.3407  0.9002  0.3407  2 P 2.31
Pt  0.3848  0.8682  0.8682  1 P 2.32, 1 Sc 2.57
Pt  0.0998  0.6593  0.6593  2 P 2.31
Pt  0.8682  0.3848  0.8682  1 P 2.32, 1 Sc 2.57
Pt  0.6593  0.6593  0.0998  2 P 2.31
Pt  0.1318  0.1318  0.6152  1 P 2.32, 1 Sc 2.57
Pt  0.3407  0.3407  0.9002  2 P 2.31
La  0.3928  0.3928  0.3928  6 Pt 2.95-3.05
La  0.6072  0.6072  0.6072  6 Pt 2.95-3.05
P  0.0000  0.5000  0.0000  6 Pt 2.31-2.32
P  0.0000  0.0000  0.5000  6 Pt 2.31-2.32
P  0.5000  0.0000  0.0000  6 Pt 2.31-2.32
Sc  0.0000  0.0000  0.0000  6 Pt 2.57

Computed properties:
SG = No. 166
Formation enthalpy at 0 K = -0.5497 eV/atom

=====

(3)
First-principles (PBE) data for crystalline La2ScP3Pt4 at its relaxed geometry, as listed in Alexandria via LeMat-Bulk.

Lattice parameters (Å, degrees): 4.2097 4.2097 10.7592 90.00 90.00 90.00
With the nearest neighbours (Å) after each atom.
Element x y z (fractional)
P  0.0000  0.5000  0.1299  5 Pt 2.39-2.53
P  0.0000  0.0000  0.5000  4 Pt 2.64
P  0.5000  0.0000  0.8701  5 Pt 2.39-2.53
Pt  0.5000  0.5000  0.0000  4 P 2.53
Pt  0.0000  0.0000  0.0000  4 P 2.53
Pt  0.0000  0.5000  0.3521  3 P 2.39-2.64, 2 Sc 2.64
Pt  0.5000  0.0000  0.6479  3 P 2.39-2.64, 2 Sc 2.64
La  0.5000  0.0000  0.2266  4 P 3.15, 8 Pt 3.22-3.27
La  0.0000  0.5000  0.7734  4 P 3.15, 8 Pt 3.22-3.27
Sc  0.5000  0.5000  0.5000  4 Pt 2.64

Computed properties:
SG = No. 115
Formation enthalpy at 0 K = -1.0720 eV/atom

=====

(4)
First-principles (PBE) data for crystalline La6P2PtSe3 at its relaxed geometry, as listed in Alexandria via LeMat-Bulk.

Lattice parameters (Å, degrees): 4.2610 8.6776 9.6497 103.34 102.76 90.00
With the nearest neighbours (Å) after each atom.
Element x y z (fractional)
La  0.3338  0.9050  0.6676  2 P 2.97, 1 Pt 3.04, 3 Se 3.05-3.12
La  0.6662  0.0950  0.3324  2 P 2.97, 1 Pt 3.04, 3 Se 3.05-3.12
La  0.9960  0.7565  0.9921  1 P 2.98, 2 Pt 2.99, 3 Se 3.09-3.13
La  0.3293  0.4256  0.6586  3 P 2.97, 3 Se 3.11-3.12
La  0.0040  0.2435  0.0079  1 P 2.98, 2 Pt 2.99, 3 Se 3.09-3.13
La  0.6707  0.5744  0.3414  3 P 2.97, 3 Se 3.11-3.12
Se  0.1672  0.8328  0.3344  6 La 3.05-3.13
Se  0.5000  0.5000  0.0000  6 La 3.09-3.12
Se  0.8328  0.1672  0.6656  6 La 3.05-3.13
P  0.1668  0.3345  0.3336  6 La 2.97-2.98
P  0.8332  0.6655  0.6664  6 La 2.97-2.98
Pt  0.5000  0.0000  0.0000  6 La 2.99-3.04

Computed properties:
SG = No. 12
Energy relative to the elements, uncorrected = -1.74 eV per atom

=====

| no. | E (eV/f.u.) | V (A^3/atom) |
| --- | --- | --- |
| 1 | -63.69 | 19.5 |
| 2 | -114.80 | 20.1 |
| 3 | -67.30 | 19.1 |
| 4 | -77.81 | 28.2 |